5
Lattice="-3.4942 0.0622 -1.8256 -1.8168 -0.5283 3.4592 -0.1824 3.7509 0.4771" Properties=species:S:1:pos:R:3 comment="VSnN2O (PBE with a Hubbard U, relaxed)" spacegroup="P4/mmm (123)" n_ef_per_ev_atom=0.496 dft_energy_ev_per_atom=-6.62 pbc="T T T"
V 0.0000 0.0000 0.0000
O -0.0912 1.8755 0.2385
N -1.7471 0.0311 -0.9128
N -0.9084 -0.2642 1.7296
Sn -2.7467 1.6424 1.0554